A plane-wave DFT calculation with GGA+U was carried out for K3Ho2FeO6 after structural relaxation.

Calculated values
Final energy   -6.2976 eV/atom
Total magnetization   4.9 μB per cell
SG   C2/m (12)
Theoretical density   5.5 g/cm³
D(E_F)   0.000 states/eV per atom

abc: 5.8110 5.8110 6.5073
angles: 98.53 98.53 120.00
Last column: nearest neighbours and their distance in Å.
Fractional coordinates of all 12 atoms:
K 0.0000 0.0000 0.0000  6 O 2.73-2.85
K 0.3368 0.6632 0.0000  6 O 2.71-2.87
K 0.6632 0.3368 0.0000  6 O 2.71-2.87
Ho 0.1669 0.8331 0.5000  6 O 2.29
Ho 0.8331 0.1669 0.5000  6 O 2.29
Fe 0.5000 0.5000 0.5000  6 O 2.15
O 0.1246 0.4395 0.3181  1 Fe 2.15, 2 Ho 2.29
O 0.2455 0.2455 0.6811  1 Fe 2.15, 2 Ho 2.29
O 0.4395 0.1246 0.3181  1 Fe 2.15, 2 Ho 2.29
O 0.5605 0.8754 0.6819  1 Fe 2.15, 2 Ho 2.29
O 0.7545 0.7545 0.3189  1 Fe 2.15, 2 Ho 2.29
O 0.8754 0.5605 0.6819  1 Fe 2.15, 2 Ho 2.29